(1)
CoHgOs2Au after structural relaxation, computed with PBE-GGA.

- crystal system = tetragonal
- space-group type = P4/mmm
- DOS at the Fermi energy (states/eV per cell) = 6.48
- formation energy from the elements (eV per atom) = 2.68

POSCAR file:
```
CoHgOs2Au
1.0
4.9553 0.0000 0.0000
0.0000 4.6518 0.0000
0.0000 0.0000 4.9553
Os Au Hg Co
2 1 1 1
Cartesian
0.0000 0.0000 2.4776 Os
2.4776 0.0000 0.0000 Os
2.4776 2.3259 2.4776 Au
0.0000 0.0000 0.0000 Hg
0.0000 2.3259 0.0000 Co
```

---

(2)
Co2HgPdAu after structural relaxation, computed with PBE-GGA.

- crystal system = tetragonal
- space-group type = P4/mmm
- DOS at the Fermi energy (states/eV per cell) = 6.49
- formation energy from the elements (eV per atom) = 1.29

POSCAR file:
```
Co2HgPdAu
1.0
-3.5037 3.1355 0.2032
-3.3659 -3.8166 0.8564
0.6706 0.4489 4.6365
Co Au Hg Pd
2 1 1 1
Cartesian
0.3353 0.2245 2.3183 Co
-1.7518 1.5678 0.1016 Co
0.0000 0.0000 0.0000 Au
-1.6829 -1.9083 0.4282 Hg
-3.0995 -0.1161 2.8480 Pd
```

---

(3)
RbCoHg2Au after structural relaxation, computed with PBE-GGA.

- crystal system = tetragonal
- space-group type = P4/mmm
- DOS at the Fermi energy (states/eV per cell) = 3.94
- formation energy from the elements (eV per atom) = 0.08

POSCAR file:
```
RbCoHg2Au
1.0
-3.5060 -2.6642 2.7317
-1.3074 -2.5396 -4.1549
3.5714 -3.5975 1.0751
Co Au Hg Rb
1 1 2 1
Cartesian
0.0000 0.0000 0.0000 Co
-0.6537 -1.2698 -2.0774 Au
1.7857 -1.7987 0.5376 Hg
-1.7530 -1.3321 1.3658 Hg
-0.6210 -4.4006 -0.1740 Rb
```

---

(4)
Y2CoHgAu after structural relaxation, computed with PBE-GGA.

- crystal system = tetragonal
- space-group type = P4/mmm
- DOS at the Fermi energy (states/eV per cell) = 1.99
- formation energy from the elements (eV per atom) = -0.19

POSCAR file:
```
Y2CoHgAu
1.0
5.0318 0.0000 0.0000
0.0000 4.8805 0.0000
0.0000 0.0000 5.0318
Y Co Au Hg
2 1 1 1
Cartesian
0.0000 0.0000 2.5159 Y
2.5159 0.0000 0.0000 Y
0.0000 0.0000 0.0000 Co
2.5159 2.4403 2.5159 Au
0.0000 2.4403 0.0000 Hg
```

---

(5)
Ho7Co2Au2 after structural relaxation, computed with PBE-GGA.

- crystal system = orthorhombic
- space-group type = Imm2
- DOS at the Fermi energy (states/eV per cell) = 12.12
- formation energy from the elements (eV per atom) = -0.41

POSCAR file:
```
Ho7Co2Au2
1.0
3.5941 0.0000 0.7708
0.9041 8.0172 4.5489
-0.1065 -0.0522 9.2613
Ho Co Au
7 2 2
Cartesian
2.9698 0.7253 3.6816 Ho
3.3411 3.1549 10.7147 Ho
1.7079 0.0867 9.5656 Ho
2.6378 3.8069 5.2297 Ho
1.9538 5.7549 8.4188 Ho
1.2275 5.6878 11.8057 Ho
0.5550 0.8538 6.1767 Ho
3.3883 6.8579 10.4948 Co
1.2163 2.8075 3.0932 Co
0.6691 6.1405 5.6448 Au
2.0374 2.7176 8.0292 Au
```

---

(6)
Ho6Co2Au after structural relaxation, computed with PBE-GGA.

- crystal system = orthorhombic
- space-group type = Immm
- DOS at the Fermi energy (states/eV per cell) = 17.46
- formation energy from the elements (eV per atom) = -0.34

POSCAR file:
```
Ho6Co2Au
1.0
-6.6334 4.3138 2.2650
-1.6725 -5.1755 -6.1772
2.5961 -4.5388 6.3561
Ho Co Au
12 4 2
Cartesian
-2.5482 -5.1084 1.9876 Ho
-3.1617 -0.2922 0.4564 Ho
0.9273 -4.7478 3.6246 Ho
-6.6372 -0.6528 -1.1806 Ho
-5.0894 -3.1918 0.6403 Ho
-0.6204 -2.2087 1.8037 Ho
-0.1081 -7.5977 1.9030 Ho
-5.6017 2.1971 0.5410 Ho
-3.5270 -2.0390 3.5540 Ho
-2.1828 -3.3615 -1.1100 Ho
-1.8496 -6.8670 -1.0454 Ho
-3.8602 1.4665 3.4894 Ho
-1.6627 -3.8562 4.3796 Co
-4.0471 -1.5443 -1.9356 Co
-2.5138 -0.1401 5.3678 Co
-1.5236 -0.0849 3.2534 Co
0.4618 -4.8572 0.0895 Au
0.0000 0.0000 0.0000 Au
```

---

(7)
Ho5Co2Au after structural relaxation, computed with PBE-GGA.

- crystal system = tetragonal
- space-group type = I4/mcm
- DOS at the Fermi energy (states/eV per cell) = 15.04
- formation energy from the elements (eV per atom) = -0.39

POSCAR file:
```
Ho5Co2Au
1.0
6.7255 0.0000 -3.1748
-1.4987 6.5564 -3.1748
-0.1219 -0.1530 8.4528
Ho Co Au
10 4 2
Cartesian
2.4190 4.4781 2.2597 Ho
3.8919 6.3256 -3.3313 Ho
0.0000 0.0000 0.0000 Ho
2.6134 3.2782 -3.1748 Ho
1.2131 0.0779 5.4345 Ho
4.3193 1.1999 3.3038 Ho
-0.6873 3.3561 4.3904 Ho
0.7856 5.2036 -1.2006 Ho
5.7922 3.0474 -2.2873 Ho
2.6859 1.9254 -0.1565 Ho
0.3237 2.4228 -1.5874 Co
4.0447 0.8554 -2.4159 Co
1.1821 5.7010 -3.9338 Co
4.9032 4.1337 -4.7622 Co
3.8592 4.8409 -0.5358 Au
1.2457 1.5626 2.6390 Au
```

---

(8)
Ho4CoAu after structural relaxation, computed with PBE-GGA.

- crystal system = monoclinic
- space-group type = C2/m
- DOS at the Fermi energy (states/eV per cell) = 6.81
- formation energy from the elements (eV per atom) = -0.27

POSCAR file:
```
Ho4CoAu
1.0
-1.7277 1.8397 4.0729
-3.9048 -2.7483 -0.4150
3.1090 -4.9847 3.5796
Ho Co Au
4 1 1
Cartesian
-3.9375 -3.1323 2.5710 Ho
-2.4859 -5.4708 4.2507 Ho
0.3304 -5.0167 2.4218 Ho
-1.1210 -2.6782 0.7423 Ho
-2.3476 -5.2216 1.3747 Co
0.2952 -5.4200 5.4082 Au
```

---

(9)
Ho4Co2Au after structural relaxation, computed with PBE-GGA.

- crystal system = triclinic
- space-group type = P1
- DOS at the Fermi energy (states/eV per cell) = 9.42
- formation energy from the elements (eV per atom) = -0.31

POSCAR file:
```
Ho4Co2Au
1.0
0.2243 4.5773 -6.0755
-1.9900 -7.1286 -1.7111
-4.7751 2.6474 4.6950
Ho Co Au
8 4 2
Cartesian
-2.0180 3.6342 -4.5485 Ho
-2.1667 -1.0344 -2.0754 Ho
-4.0185 1.3961 -3.3865 Ho
-3.7822 4.3732 -1.2484 Ho
-3.0063 -4.6278 -2.9673 Ho
-3.7360 2.0172 1.7682 Ho
-5.4494 -0.5313 -0.1486 Ho
-1.6885 -0.2192 -5.6252 Ho
-3.6064 1.4060 -0.8144 Co
-3.3897 -1.9189 -4.2656 Co
-0.9629 1.2728 -3.6126 Co
-5.1293 -0.5755 2.4443 Co
-3.8572 -2.9032 -0.5266 Au
-0.0334 -0.0138 -0.0729 Au
```

---

(10)
Ho4CoAu after structural relaxation, computed with PBE-GGA.

- crystal system = monoclinic
- space-group type = C2/c
- DOS at the Fermi energy (states/eV per cell) = 12.23
- formation energy from the elements (eV per atom) = -0.40

POSCAR file:
```
Ho4CoAu
1.0
-3.4757 -4.0262 -2.8950
3.6702 -4.6972 4.3353
-5.3028 3.4395 3.7920
Ho Co Au
8 2 2
Cartesian
-5.0518 -3.9245 3.0034 Ho
1.8844 -3.6037 4.9703 Ho
-3.2305 -2.0701 0.6944 Ho
0.7182 -5.0834 2.0710 Ho
-5.8264 -0.2005 3.1612 Ho
-1.8777 -3.2137 4.5378 Ho
-6.9926 -1.6801 0.2619 Ho
-0.0564 -1.3594 2.2288 Ho
2.7877 -5.6914 3.6107 Co
-7.8959 0.4076 1.6215 Co
-2.2595 -4.7036 1.9628 Au
-2.8487 -0.5803 3.2694 Au
```

---

(11)
Ho5CoAu4 after structural relaxation, computed with PBE-GGA.

- crystal system = tetragonal
- space-group type = P4/mmm
- DOS at the Fermi energy (states/eV per cell) = 4.96
- formation energy from the elements (eV per atom) = -0.72

POSCAR file:
```
Ho5CoAu4
1.0
3.5194 0.0000 0.0000
0.0000 3.5194 0.0000
0.0000 0.0000 17.8864
Ho Co Au
5 1 4
Cartesian
1.7597 1.7597 1.6201 Ho
1.7597 1.7597 5.2743 Ho
1.7597 1.7597 8.9432 Ho
1.7597 1.7597 12.6121 Ho
1.7597 1.7597 16.2663 Ho
0.0000 0.0000 0.0000 Co
0.0000 0.0000 3.4583 Au
0.0000 0.0000 7.1241 Au
0.0000 0.0000 10.7624 Au
0.0000 0.0000 14.4282 Au
```

---

(12)
Ho6CoAu after structural relaxation, computed with PBE-GGA.

- crystal system = trigonal
- space-group type = R-3
- DOS at the Fermi energy (states/eV per cell) = 9.09
- formation energy from the elements (eV per atom) = -0.17

POSCAR file:
```
Ho6CoAu
1.0
6.5782 0.0081 0.0066
3.2815 5.7020 0.0115
3.2784 1.8948 6.3487
Ho Co Au
6 1 1
Cartesian
4.2387 3.7947 4.8477 Ho
7.7348 1.7857 4.8489 Ho
5.4127 1.7858 1.5115 Ho
5.4033 5.8192 1.5178 Ho
8.8994 3.8103 1.5190 Ho
7.7254 5.8192 4.8552 Ho
0.0000 0.0000 0.0000 Co
6.5691 3.8025 3.1833 Au
```

---

(13)
Ho2Co2Au after structural relaxation, computed with PBE-GGA.

- crystal system = orthorhombic
- space-group type = Cmmm
- DOS at the Fermi energy (states/eV per cell) = 4.41
- formation energy from the elements (eV per atom) = -0.45

POSCAR file:
```
Ho2Co2Au
1.0
3.8042 0.0000 0.0000
0.0000 3.5982 -1.0229
0.0000 0.0234 6.9222
Ho Co Au
2 2 1
Cartesian
1.9021 2.2848 1.1969 Ho
1.9021 1.3368 4.7024 Ho
0.0000 0.7439 2.6165 Co
0.0000 2.8778 3.2827 Co
0.0000 0.0000 0.0000 Au
```

---

(14)
Ho6CoAu2 after structural relaxation, computed with PBE-GGA.

- crystal system = monoclinic
- space-group type = P2_1/c
- DOS at the Fermi energy (states/eV per cell) = 19.13
- formation energy from the elements (eV per atom) = -0.44

POSCAR file:
```
Ho6CoAu2
1.0
-2.1169 4.1660 4.7749
-6.0930 1.2089 -3.7559
-4.4120 -7.3392 4.7951
Ho Co Au
12 2 4
Cartesian
-8.9159 2.9875 1.6890 Ho
-8.3921 0.1550 3.9960 Ho
-10.0610 -2.6244 5.8972 Ho
-5.0066 -1.0890 5.2065 Ho
-6.7523 -3.8531 7.0604 Ho
-5.3503 1.3546 2.3939 Ho
-3.7059 -4.9519 4.1250 Ho
-4.2297 -2.1193 1.8181 Ho
-2.5608 0.6600 -0.0831 Ho
-7.6152 -0.8754 0.6076 Ho
-5.8695 1.8888 -1.2463 Ho
-7.2715 -3.3190 3.4202 Ho
-4.1049 2.6874 0.5095 Co
-2.2060 -3.6696 2.3975 Co
-7.7115 -1.0405 6.6581 Au
-9.9202 -2.1641 2.8650 Au
-2.7016 0.1998 2.9491 Au
-4.9103 -0.9238 -0.8441 Au
```

---

(15)
Ho4CoAu3 after structural relaxation, computed with PBE-GGA.

- crystal system = tetragonal
- space-group type = P4/mmm
- DOS at the Fermi energy (states/eV per cell) = 5.52
- formation energy from the elements (eV per atom) = -0.69

POSCAR file:
```
Ho4CoAu3
1.0
-0.2488 -2.9983 1.8023
1.6033 -1.7036 -2.6128
12.6517 2.5983 6.0694
Au Co Ho
3 1 4
Cartesian
3.7601 -1.7178 1.0737 Au
7.0031 -1.0518 2.6294 Au
10.2461 -0.3858 4.1852 Au
0.6773 -2.3510 -0.4053 Co
11.2108 2.3024 5.3782 Ho
1.4409 0.2959 0.6912 Ho
4.6927 0.9638 2.2512 Ho
7.9590 1.6346 3.8182 Ho
```

---

(16)
Ho12CoAu6 after structural relaxation, computed with PBE-GGA.

- crystal system = trigonal
- space-group type = R-3
- DOS at the Fermi energy (states/eV per cell) = 18.58
- formation energy from the elements (eV per atom) = -0.46

POSCAR file:
```
Ho12CoAu6
1.0
8.2272 0.0348 0.0417
-1.2129 8.1373 0.0417
-1.2129 -1.4131 8.0138
Ho Co Au
12 1 6
Cartesian
5.4936 4.0936 3.4524 Ho
1.8016 5.8342 4.6447 Ho
3.2135 2.3156 6.5702 Ho
0.3078 2.6654 4.6448 Ho
3.9998 0.9249 3.4525 Ho
2.5879 4.4435 1.5269 Ho
-1.0363 7.4805 2.5461 Ho
-1.7498 4.2736 7.5342 Ho
4.4894 7.6062 0.2821 Ho
6.8377 -0.7215 5.5511 Ho
7.5512 2.4855 0.5630 Ho
1.3120 -0.8472 7.8151 Ho
0.0000 0.0000 0.0000 Co
4.2010 6.5833 3.0340 Au
4.6504 2.3324 1.0777 Au
-0.0689 4.6942 2.4875 Au
1.6004 0.1758 5.0632 Au
1.1510 4.4266 7.0194 Au
5.8703 2.0648 5.6097 Au
```

---

(17)
Ho7Co2Au2 after structural relaxation, computed with PBE-GGA.

- crystal system = orthorhombic
- space-group type = Cmmm
- DOS at the Fermi energy (states/eV per cell) = 9.25
- formation energy from the elements (eV per atom) = -0.31

POSCAR file:
```
Ho7Co2Au2
1.0
-4.0437 -3.4044 3.8868
5.3537 -3.4680 2.5317
2.0039 5.3941 3.1521
Ho Co Au
7 2 2
Cartesian
-1.7015 -1.5720 6.0962 Ho
3.9953 1.0889 6.9948 Ho
5.0154 0.0938 3.4745 Ho
-0.6813 -2.5671 2.5758 Ho
0.0000 0.0000 0.0000 Ho
3.0345 -1.6342 5.4375 Ho
0.2795 0.1560 4.1331 Ho
3.0793 -4.2981 6.2035 Co
0.2347 2.8199 3.3671 Co
1.0197 -0.1174 6.9846 Au
2.2943 -1.3608 2.5861 Au
```

---

(18)
LaHoCoAu after structural relaxation, computed with PBE-GGA.

- crystal system = cubic
- space-group type = F-43m
- DOS at the Fermi energy (states/eV per cell) = 3.87
- formation energy from the elements (eV per atom) = -0.36

POSCAR file:
```
LaHoCoAu
1.0
-3.0074 -2.9916 -2.7490
0.6955 -5.0066 0.0402
-3.3601 -3.0001 2.2935
Co Au Ho La
1 1 1 1
Cartesian
0.0000 0.0000 0.0000 Co
-2.8360 -5.4991 -0.2076 Au
-4.2540 -8.2487 -0.3115 Ho
-1.4180 -2.7496 -0.1038 La
```

---

(19)
HoLuCoAu after structural relaxation, computed with PBE-GGA.

- crystal system = cubic
- space-group type = F-43m
- DOS at the Fermi energy (states/eV per cell) = 2.96
- formation energy from the elements (eV per atom) = -0.48

POSCAR file:
```
HoLuCoAu
1.0
4.8651 0.0000 0.0000
2.4325 4.2133 0.0000
2.4325 1.4044 3.9723
Co Lu Au Ho
1 1 1 1
Cartesian
4.8651 2.8088 1.9862 Co
7.2976 4.2133 2.9792 Lu
0.0000 0.0000 0.0000 Au
2.4325 1.4044 0.9931 Ho
```

---

(20)
HoMgCoAu after structural relaxation, computed with PBE-GGA.

- crystal system = cubic
- space-group type = F-43m
- DOS at the Fermi energy (states/eV per cell) = 1.91
- formation energy from the elements (eV per atom) = -0.32

POSCAR file:
```
HoMgCoAu
1.0
4.7336 0.0000 0.0000
2.3668 4.0994 0.0000
2.3668 1.3665 3.8650
Co Mg Au Ho
1 1 1 1
Cartesian
4.7336 2.7329 1.9325 Co
2.3668 1.3665 0.9662 Mg
0.0000 0.0000 0.0000 Au
7.1004 4.0994 2.8987 Ho
```

---

(21)
PmHoCoAu after structural relaxation, computed with PBE-GGA.

- crystal system = cubic
- space-group type = F-43m
- DOS at the Fermi energy (states/eV per cell) = 3.24
- formation energy from the elements (eV per atom) = -0.39

POSCAR file:
```
PmHoCoAu
1.0
4.9917 0.0000 0.0000
2.4959 4.3230 0.0000
2.4959 1.4410 4.0757
Co Au Ho Pm
1 1 1 1
Cartesian
4.9917 2.8820 2.0379 Co
0.0000 0.0000 0.0000 Au
7.4876 4.3230 3.0568 Ho
2.4959 1.4410 1.0189 Pm
```

---

(22)
PrHoCoAu after structural relaxation, computed with PBE-GGA.

- crystal system = cubic
- space-group type = F-43m
- DOS at the Fermi energy (states/eV per cell) = 3.34
- formation energy from the elements (eV per atom) = -0.35

POSCAR file:
```
PrHoCoAu
1.0
-3.1215 -0.8331 -3.8608
1.8120 -1.6883 -4.3829
-0.9734 -4.7129 -1.4782
Pr Co Au Ho
1 1 1 1
Cartesian
-0.5707 -1.8086 -2.4305 Pr
-1.1414 -3.6171 -4.8609 Co
0.0000 0.0000 0.0000 Au
-1.7121 -5.4257 -7.2914 Ho
```

---

(23)
SmHoCoAu after structural relaxation, computed with PBE-GGA.

- crystal system = cubic
- space-group type = F-43m
- DOS at the Fermi energy (states/eV per cell) = 3.17
- formation energy from the elements (eV per atom) = -0.40

POSCAR file:
```
SmHoCoAu
1.0
-4.5209 2.0784 0.1168
-4.0608 -2.8516 -0.3889
-2.9506 -0.6806 3.9501
Co Au Ho Sm
1 1 1 1
Cartesian
0.0000 0.0000 0.0000 Co
-5.7661 -0.7268 1.8390 Au
-2.8831 -0.3634 0.9195 Ho
-8.6492 -1.0902 2.7585 Sm
```

---

(24)
HoTmCoAu after structural relaxation, computed with PBE-GGA.

- crystal system = cubic
- space-group type = F-43m
- DOS at the Fermi energy (states/eV per cell) = 2.94
- formation energy from the elements (eV per atom) = -0.48

POSCAR file:
```
HoTmCoAu
1.0
-3.9954 -0.7904 -2.6947
-0.6736 -4.3296 -2.1566
-3.4796 -3.0197 1.6196
Co Tm Au Ho
1 1 1 1
Cartesian
-4.0743 -4.0698 -1.6159 Co
-2.0372 -2.0349 -0.8079 Tm
0.0000 0.0000 0.0000 Au
-6.1115 -6.1047 -2.4238 Ho
```